No. 1
The following is a DFT calculation (PBE-GGA) of crystalline Y4CuNi at its relaxed geometry.

Cell: 7.7127 7.7127 7.7127 Å, 104.73 104.73 119.43°
Fractional coordinates of all 12 atoms:
1 Y 0.2015 0.0000 0.2015
2 Y 0.2408 0.5265 0.2857
3 Y 0.2408 0.9551 0.7143
4 Y 0.2765 0.4908 0.7857
5 Y 0.7051 0.4908 0.2143
6 Y 0.7500 0.0485 0.2985
7 Y 0.7500 0.4515 0.7015
8 Y 0.7985 0.0000 0.7985
9 Cu 0.4873 0.9873 0.5000
10 Cu 0.7373 0.7373 0.0000
11 Ni 0.0025 0.5025 0.5000
12 Ni 0.2525 0.2525 0.0000

calculated formation energy: -0.033 eV/atom
space group: I4_1md, No. 109
calculated volume: 345.1 Å³ per cell
energy above the lowest structure with this stoichiometry: 0.00 kJ/mol of atoms

No. 2
The following is a DFT calculation (PBE-GGA) of crystalline YCu2Ni2 at its relaxed geometry.

Cell: 7.0070 7.0070 2.9400 Å, 90.00 90.00 90.00°
Fractional coordinates of all 10 atoms:
1 Y 0.0000 0.0000 0.0000
2 Y 0.5000 0.5000 0.0000
3 Cu 0.1597 0.3403 0.5000
4 Cu 0.3403 0.8403 0.5000
5 Cu 0.6597 0.1597 0.5000
6 Cu 0.8403 0.6597 0.5000
7 Ni 0.1301 0.6301 0.0000
8 Ni 0.3699 0.1301 0.0000
9 Ni 0.6301 0.8699 0.0000
10 Ni 0.8699 0.3699 0.0000

calculated formation energy: -0.062 eV/atom
space group: P4/mbm, No. 127
calculated volume: 144.3 Å³ per cell
energy above the lowest structure with this stoichiometry: 13.63 kJ/mol of atoms

No. 3
The following is a DFT calculation (PBE-GGA) of crystalline Y2CuNi at its relaxed geometry.

Cell: 3.7275 4.3949 5.4591 Å, 90.00 109.78 90.00°
Fractional coordinates of all 4 atoms:
1 Y 0.0000 0.0000 0.0000
2 Y 0.2780 0.5000 0.5566
3 Cu 0.5685 0.5000 0.1355
4 Ni 0.7098 0.0000 0.4205

calculated formation energy: -0.349 eV/atom
space group: Pm, No. 6
calculated volume: 84.2 Å³ per cell

No. 4
The following is a DFT calculation (PBE-GGA) of crystalline YCuNi2 at its relaxed geometry.

Cell: 8.6291 8.6291 8.6291 Å, 34.02 34.02 34.02°
Fractional coordinates of all 12 atoms:
1 Y 0.0000 0.0000 0.0000
2 Y 0.1377 0.1377 0.1377
3 Y 0.8623 0.8623 0.8623
4 Cu 0.3335 0.3335 0.3335
5 Cu 0.5000 0.5000 0.5000
6 Cu 0.6665 0.6665 0.6665
7 Ni 0.0798 0.5842 0.5842
8 Ni 0.4158 0.4158 0.9202
9 Ni 0.4158 0.9202 0.4158
10 Ni 0.5842 0.0798 0.5842
11 Ni 0.5842 0.5842 0.0798
12 Ni 0.9202 0.4158 0.4158

calculated formation energy: -0.357 eV/atom
space group: R-3m, No. 166
calculated volume: 179.2 Å³ per cell

No. 5
The following is a DFT calculation (PBE-GGA) of crystalline Y4CuNi3 at its relaxed geometry.

Cell: 3.7292 4.3305 10.2233 Å, 90.00 90.00 90.00°
Fractional coordinates of all 8 atoms:
1 Y 0.0000 0.0000 0.0000
2 Y 0.0000 0.5000 0.2728
3 Y 0.5000 0.0000 0.4891
4 Y 0.5000 0.5000 0.7751
5 Cu 0.0000 0.0000 0.7041
6 Ni 0.0000 0.5000 0.5636
7 Ni 0.5000 0.0000 0.2070
8 Ni 0.5000 0.5000 0.0619

calculated formation energy: -0.388 eV/atom
space group: Pmm2, No. 25
calculated volume: 165.1 Å³ per cell

No. 6
The following is a DFT calculation (PBE-GGA) of crystalline YCu8Ni4 at its relaxed geometry.

Cell: 6.3691 6.3691 6.3691 Å, 98.29 98.29 135.37°
Fractional coordinates of all 13 atoms:
1 Y 0.0000 0.0000 0.0000
2 Cu 0.0000 0.3508 0.3508
3 Cu 0.0000 0.6492 0.6492
4 Cu 0.2770 0.5000 0.7770
5 Cu 0.3508 0.0000 0.3508
6 Cu 0.5000 0.2770 0.7770
7 Cu 0.5000 0.7230 0.2230
8 Cu 0.6492 0.0000 0.6492
9 Cu 0.7230 0.5000 0.2230
10 Ni 0.0000 0.0000 0.5000
11 Ni 0.0000 0.5000 0.0000
12 Ni 0.5000 0.0000 0.0000
13 Ni 0.5000 0.5000 0.5000

calculated formation energy: -0.114 eV/atom
space group: I4/mmm, No. 139
calculated volume: 167.9 Å³ per cell

No. 7
The following is a DFT calculation (PBE-GGA) of crystalline Y2CuNi at its relaxed geometry.

Cell: 6.1579 6.1579 6.1579 Å, 150.53 128.14 60.78°
Fractional coordinates of all 4 atoms:
1 Y 0.2384 0.2384 0.0000
2 Y 0.7616 0.7616 0.0000
3 Cu 0.5000 0.5000 0.0000
4 Ni 0.0000 0.0000 0.0000

calculated formation energy: 0.731 eV/atom
space group: Immm, No. 71
calculated volume: 89.6 Å³ per cell

No. 8
The following is a DFT calculation (PBE-GGA) of crystalline YCu9Ni3 at its relaxed geometry.

Cell: 6.3932 6.3932 6.3660 Å, 97.95 97.95 135.58°
Fractional coordinates of all 13 atoms:
1 Y 0.0000 0.0000 0.0000
2 Cu 0.0115 0.6573 0.6499
3 Cu 0.2772 0.5006 0.7783
4 Cu 0.3427 0.9885 0.3501
5 Cu 0.4994 0.7228 0.2217
6 Cu 0.5000 0.5000 0.5000
7 Cu 0.5006 0.2772 0.7783
8 Cu 0.6573 0.0115 0.6499
9 Cu 0.7228 0.4994 0.2217
10 Cu 0.9885 0.3427 0.3501
11 Ni 0.0000 0.0000 0.5000
12 Ni 0.0000 0.5000 0.0000
13 Ni 0.5000 0.0000 0.0000

calculated formation energy: -0.108 eV/atom
space group: C2/m, No. 12
calculated volume: 169.5 Å³ per cell

No. 9
The following is a DFT calculation (PBE-GGA) of crystalline YCuNi2 at its relaxed geometry.

Cell: 8.7379 8.7379 8.7379 Å, 152.31 152.31 39.56°
Fractional coordinates of all 8 atoms:
1 Y 0.0000 0.0000 0.0000
2 Y 0.7500 0.2500 0.5000
3 Cu 0.2500 0.7500 0.5000
4 Cu 0.5000 0.5000 0.0000
5 Ni 0.2782 0.6250 0.1532
6 Ni 0.3750 0.5282 0.6532
7 Ni 0.4718 0.1250 0.8468
8 Ni 0.8750 0.7218 0.3468

calculated formation energy: 0.031 eV/atom
space group: I-42d, No. 122
calculated volume: 143.8 Å³ per cell

No. 10
The following is a DFT calculation (PBE-GGA) of crystalline Y2CuNi at its relaxed geometry.

Cell: 6.3379 6.3379 6.3379 Å, 147.18 141.76 51.26°
Fractional coordinates of all 4 atoms:
1 Y 0.0000 0.0000 0.0000
2 Y 0.7295 0.2295 0.5000
3 Cu 0.2965 0.7965 0.5000
4 Ni 0.4454 0.4454 0.0000

calculated formation energy: -0.156 eV/atom
space group: Imm2, No. 44
calculated volume: 85.0 Å³ per cell

No. 11
The following is a DFT calculation (PBE-GGA) of crystalline YCu2Ni2 at its relaxed geometry.

Cell: 7.0363 7.0363 2.9221 Å, 90.00 90.00 90.00°
Fractional coordinates of all 10 atoms:
1 Y 0.0000 0.0000 0.0000
2 Y 0.5000 0.5000 0.0000
3 Cu 0.1237 0.3763 0.0000
4 Cu 0.3763 0.8763 0.0000
5 Cu 0.6237 0.1237 0.0000
6 Cu 0.8763 0.6237 0.0000
7 Ni 0.1679 0.6679 0.5000
8 Ni 0.3321 0.1679 0.5000
9 Ni 0.6679 0.8321 0.5000
10 Ni 0.8321 0.3321 0.5000

calculated formation energy: -0.046 eV/atom
space group: P4/mbm, No. 127
calculated volume: 144.7 Å³ per cell
energy above the lowest structure with this stoichiometry: 15.17 kJ/mol of atoms

No. 12
The following is a DFT calculation (PBE-GGA) of crystalline YCu6Ni2 at its relaxed geometry.

Cell: 7.3255 7.3255 7.3255 Å, 157.97 122.13 62.69°
Fractional coordinates of all 9 atoms:
1 Y 0.0000 0.0000 0.0000
2 Cu 0.0071 0.3220 0.6851
3 Cu 0.3384 0.5000 0.8384
4 Cu 0.3631 0.6780 0.6851
5 Cu 0.6369 0.3220 0.3149
6 Cu 0.6616 0.5000 0.1616
7 Cu 0.9929 0.6780 0.3149
8 Ni 0.3514 0.8514 0.5000
9 Ni 0.6486 0.1486 0.5000

calculated formation energy: 0.125 eV/atom
space group: Immm, No. 71
calculated volume: 124.1 Å³ per cell

No. 13
The following is a DFT calculation (PBE-GGA) of crystalline Y2CuNi at its relaxed geometry.

Cell: 3.9423 3.9423 5.7675 Å, 90.00 90.00 90.00°
Fractional coordinates of all 4 atoms:
1 Y 0.0000 0.0000 0.0000
2 Y 0.5000 0.5000 0.4196
3 Cu 0.0000 0.0000 0.5161
4 Ni 0.5000 0.5000 0.9229

calculated formation energy: -0.123 eV/atom
space group: P4mm, No. 99
calculated volume: 89.6 Å³ per cell

No. 14
The following is a DFT calculation (PBE-GGA) of crystalline YCu4Ni8 at its relaxed geometry.

Cell: 6.3263 6.3263 6.3263 Å, 97.97 97.97 136.28°
Fractional coordinates of all 13 atoms:
1 Y 0.0000 0.0000 0.0000
2 Cu 0.0000 0.0000 0.5000
3 Cu 0.0000 0.5000 0.0000
4 Cu 0.5000 0.0000 0.0000
5 Cu 0.5000 0.5000 0.5000
6 Ni 0.0000 0.3578 0.3578
7 Ni 0.0000 0.6422 0.6422
8 Ni 0.2763 0.5000 0.7763
9 Ni 0.3578 0.0000 0.3578
10 Ni 0.5000 0.2763 0.7763
11 Ni 0.5000 0.7237 0.2237
12 Ni 0.6422 0.0000 0.6422
13 Ni 0.7237 0.5000 0.2237

calculated formation energy: -0.065 eV/atom
space group: I4/mmm, No. 139
calculated volume: 162.4 Å³ per cell

No. 15
The following is a DFT calculation (PBE-GGA) of crystalline Y2Cu2Ni15 at its relaxed geometry.

Cell: 6.2697 6.2697 6.2697 Å, 83.12 83.12 83.12°
Fractional coordinates of all 19 atoms:
1 Y 0.1578 0.1578 0.1578
2 Y 0.8422 0.8422 0.8422
3 Cu 0.4012 0.4012 0.4012
4 Cu 0.5988 0.5988 0.5988
5 Ni 0.0000 0.5000 0.5000
6 Ni 0.1544 0.1544 0.6547
7 Ni 0.1544 0.6547 0.1544
8 Ni 0.2037 0.5000 0.7963
9 Ni 0.2037 0.7963 0.5000
10 Ni 0.3453 0.8456 0.8456
11 Ni 0.5000 0.0000 0.5000
12 Ni 0.5000 0.2037 0.7963
13 Ni 0.5000 0.5000 0.0000
14 Ni 0.5000 0.7963 0.2037
15 Ni 0.6547 0.1544 0.1544
16 Ni 0.7963 0.2037 0.5000
17 Ni 0.7963 0.5000 0.2037
18 Ni 0.8456 0.3453 0.8456
19 Ni 0.8456 0.8456 0.3453

calculated formation energy: -0.194 eV/atom
space group: R-3m, No. 166
calculated volume: 241.5 Å³ per cell

No. 16
The following is a DFT calculation (PBE-GGA) of crystalline Y5Cu4Ni at its relaxed geometry.

Cell: 3.4514 3.4514 17.4771 Å, 90.00 90.00 90.00°
Fractional coordinates of all 10 atoms:
1 Y 0.0000 0.0000 0.0000
2 Y 0.0000 0.0000 0.2024
3 Y 0.0000 0.0000 0.4049
4 Y 0.0000 0.0000 0.5951
5 Y 0.0000 0.0000 0.7976
6 Cu 0.5000 0.5000 0.1007
7 Cu 0.5000 0.5000 0.3028
8 Cu 0.5000 0.5000 0.6972
9 Cu 0.5000 0.5000 0.8993
10 Ni 0.5000 0.5000 0.5000

calculated formation energy: -0.268 eV/atom
space group: P4/mmm, No. 123
calculated volume: 208.2 Å³ per cell

No. 17
The following is a DFT calculation (PBE-GGA) of crystalline YCu4Ni2 at its relaxed geometry.

Cell: 5.6042 5.6042 5.6042 Å, 101.45 101.45 127.08°
Fractional coordinates of all 7 atoms:
1 Y 0.0000 0.0000 0.0000
2 Cu 0.2712 0.5000 0.7712
3 Cu 0.5000 0.2712 0.7712
4 Cu 0.5000 0.7288 0.2288
5 Cu 0.7288 0.5000 0.2288
6 Ni 0.2500 0.7500 0.5000
7 Ni 0.7500 0.2500 0.5000

calculated formation energy: 0.408 eV/atom
space group: I4/mmm, No. 139
calculated volume: 125.7 Å³ per cell
energy above the lowest structure with this stoichiometry: 55.49 kJ/mol of atoms

No. 18
The following is a DFT calculation (PBE-GGA) of crystalline Y4Cu3Ni at its relaxed geometry.

Cell: 3.7756 4.4161 10.2836 Å, 90.00 90.00 90.00°
Fractional coordinates of all 8 atoms:
1 Y 0.0000 0.0000 0.0000
2 Y 0.0000 0.5000 0.2717
3 Y 0.5000 0.0000 0.4871
4 Y 0.5000 0.5000 0.7754
5 Cu 0.0000 0.0000 0.7041
6 Cu 0.0000 0.5000 0.5619
7 Cu 0.5000 0.5000 0.0631
8 Ni 0.5000 0.0000 0.2059

calculated formation energy: -0.306 eV/atom
space group: Pmm2, No. 25
calculated volume: 171.5 Å³ per cell

No. 19
The following is a DFT calculation (PBE-GGA) of crystalline Y6Cu2Ni at its relaxed geometry.

Cell: 8.3333 8.3333 8.3333 Å, 109.89 109.38 109.14°
Fractional coordinates of all 18 atoms:
1 Y 0.0283 0.2012 0.8271
2 Y 0.2575 0.5832 0.3257
3 Y 0.2575 0.9319 0.6743
4 Y 0.2594 0.3174 0.5768
5 Y 0.2594 0.6826 0.9420
6 Y 0.3742 0.2012 0.1729
7 Y 0.6258 0.7988 0.8271
8 Y 0.7406 0.3174 0.0580
9 Y 0.7406 0.6826 0.4232
10 Y 0.7425 0.0681 0.3257
11 Y 0.7425 0.4168 0.6743
12 Y 0.9717 0.7988 0.1729
13 Cu 0.0000 0.1498 0.1498
14 Cu 0.0000 0.8502 0.8502
15 Cu 0.3800 0.0000 0.3800
16 Cu 0.6200 0.0000 0.6200
17 Ni 0.0000 0.5000 0.5000
18 Ni 0.5000 0.5000 0.0000

calculated formation energy: -0.160 eV/atom
space group: Immm, No. 71
calculated volume: 445.5 Å³ per cell

No. 20
The following is a DFT calculation (PBE-GGA) of crystalline YCu3Ni at its relaxed geometry.

Cell: 4.4494 4.4494 4.4494 Å, 90.00 90.00 90.00°
Fractional coordinates of all 5 atoms:
1 Y 0.0000 0.0000 0.0000
2 Cu 0.0000 0.5000 0.5000
3 Cu 0.5000 0.0000 0.5000
4 Cu 0.5000 0.5000 0.0000
5 Ni 0.5000 0.5000 0.5000

calculated formation energy: 0.203 eV/atom
space group: Pm-3m, No. 221
calculated volume: 88.1 Å³ per cell
energy above the lowest structure with this stoichiometry: 35.87 kJ/mol of atoms

No. 21
The following is a DFT calculation (PBE-GGA) of crystalline Y3CuNi8 at its relaxed geometry.

Cell: 8.6465 8.6465 8.6465 Å, 33.48 33.48 33.48°
Fractional coordinates of all 12 atoms:
1 Y 0.0000 0.0000 0.0000
2 Y 0.1302 0.1302 0.1302
3 Y 0.6115 0.6115 0.6115
4 Cu 0.4911 0.4911 0.4911
5 Ni 0.0581 0.0581 0.5636
6 Ni 0.0581 0.5636 0.0581
7 Ni 0.0650 0.5604 0.5604
8 Ni 0.3107 0.3107 0.3107
9 Ni 0.5604 0.0650 0.5604
10 Ni 0.5604 0.5604 0.0650
11 Ni 0.5636 0.0581 0.0581
12 Ni 0.8111 0.8111 0.8111

calculated formation energy: -0.359 eV/atom
space group: R3m, No. 160
calculated volume: 175.2 Å³ per cell

No. 22
The following is a DFT calculation (PBE-GGA) of crystalline Y2CuNi2 at its relaxed geometry.

Cell: 5.3105 5.3105 7.6946 Å, 102.39 102.39 59.91°
Fractional coordinates of all 10 atoms:
1 Y 0.0083 0.2895 0.1491
2 Y 0.2895 0.0083 0.6491
3 Y 0.7105 0.9917 0.3509
4 Y 0.9917 0.7105 0.8509
5 Cu 0.3499 0.6501 0.2500
6 Cu 0.6501 0.3499 0.7500
7 Ni 0.2292 0.5010 0.4974
8 Ni 0.4990 0.7708 0.0026
9 Ni 0.5010 0.2292 0.9974
10 Ni 0.7708 0.4990 0.5026

calculated formation energy: -0.370 eV/atom
space group: C2/c, No. 15
calculated volume: 181.9 Å³ per cell